[1]
Nd2InAs (PBE, relaxed); ΔE to the lowest computed polymorph = 0 meV/atom
1.0
2.0829 1.2026 8.0432
-2.0829 1.2026 8.0432
0.0000 -2.4051 8.0432
Nd In As
2 1 1
Direct
0.2380 0.2380 0.2380 Nd
0.7620 0.7620 0.7620 Nd
0.0000 0.0000 0.0000 In
0.5000 0.5000 0.5000 As



[2]
Nd2InAs (PBE, relaxed); ΔE to the lowest computed polymorph = 129 meV/atom
1.0
3.8948 0.0000 0.0000
0.0000 3.8948 0.0000
0.0000 0.0000 7.0618
Nd In As
2 1 1
Direct
0.0000 0.0000 0.2309 Nd
0.0000 0.0000 0.7691 Nd
0.5000 0.5000 0.5000 In
0.5000 0.5000 0.0000 As



[3]
The following is a PBE calculation of Nd2InNi4As3 after structural relaxation, from Alexandria via LeMat-Bulk.

Structure (POSCAR):
```
Nd2InNi4As3
1.0
4.1507 0.0000 0.0000
0.0000 4.1507 0.0000
0.0000 0.0000 10.1733
Nd In Ni As
2 1 4 3
Direct
0.0000 0.5000 0.2325 Nd
0.5000 0.0000 0.7675 Nd
0.0000 0.0000 0.5000 In
0.0000 0.0000 0.0000 Ni
0.0000 0.5000 0.6439 Ni
0.5000 0.0000 0.3561 Ni
0.5000 0.5000 0.0000 Ni
0.0000 0.5000 0.8742 As
0.5000 0.0000 0.1258 As
0.5000 0.5000 0.5000 As
```



[4]
The following is a PBE calculation of NdIn2As2Pd7 after structural relaxation, from Alexandria via LeMat-Bulk.

Structure (POSCAR):
```
NdIn2As2Pd7
1.0
2.8507 -2.8601 0.0000
2.8507 2.8601 0.0000
-1.7207 0.0000 14.7656
Nd In As Pd
1 2 2 7
Direct
0.0000 0.0000 0.0000 Nd
0.1170 0.1170 0.4076 In
0.8830 0.8830 0.5924 In
0.4211 0.4211 0.7496 As
0.5789 0.5789 0.2504 As
0.0487 0.5474 0.1522 Pd
0.3873 0.3873 0.5831 Pd
0.4526 0.9513 0.8478 Pd
0.5000 0.5000 0.0000 Pd
0.5474 0.0487 0.1522 Pd
0.6127 0.6127 0.4169 Pd
0.9513 0.4526 0.8478 Pd
```



[5]
The following is a PBE calculation of Nd2InAs3Pd4 after structural relaxation, from Alexandria via LeMat-Bulk.

Structure (POSCAR):
```
Nd2InAs3Pd4
1.0
4.2371 0.0000 0.0000
0.0000 4.2371 0.0000
0.0000 0.0000 11.2145
Nd In As Pd
2 1 3 4
Direct
0.0000 0.5000 0.2270 Nd
0.5000 0.0000 0.7730 Nd
0.0000 0.0000 0.5000 In
0.0000 0.5000 0.8674 As
0.5000 0.0000 0.1326 As
0.5000 0.5000 0.5000 As
0.0000 0.0000 0.0000 Pd
0.0000 0.5000 0.6495 Pd
0.5000 0.0000 0.3505 Pd
0.5000 0.5000 0.0000 Pd
```



Number 1: formation enthalpy at 0 K -352 kJ/mol of formula units. Number 2: formation enthalpy at 0 K -302 kJ/mol of formula units. Number 3: formation enthalpy at 0 K -689 kJ/mol of formula units. Number 4: formation enthalpy at 0 K -517 kJ/mol of formula units. Number 5: formation enthalpy at 0 K -811 kJ/mol of formula units.